Entry 1:
# KCuSb2I

A relaxed KCuSb2I crystal (PBE, Alexandria via LeMat-Bulk).

```
KCuSb2I
1.0
6.200 0.000 0.000
0.000 6.200 0.000
0.000 0.000 6.171
K Cu Sb I
1 1 2 1
Direct
0.000 0.000 0.000 K
0.500 0.500 0.500 Cu
0.000 0.500 0.000 Sb
0.500 0.000 0.000 Sb
0.000 0.000 0.500 I
```

Properties
E_form (uncorrected), eV/f.u.: 6.2
M_tot, μB per cell: 2.21

Entry 2:
# KCuSbI2

A relaxed KCuSbI2 crystal (PBE, Alexandria via LeMat-Bulk).

```
KCuSbI2
1.0
5.926 0.000 0.000
0.000 5.926 0.000
0.000 0.000 4.951
K Cu Sb I
1 1 1 2
Direct
0.000 0.000 0.000 K
0.500 0.500 0.500 Cu
0.500 0.500 0.000 Sb
0.000 0.500 0.500 I
0.500 0.000 0.500 I
```

Properties
E_form (uncorrected), eV/f.u.: -1.2
M_tot, μB per cell: 0.15

Entry 3:
# KScCuI5

A relaxed KScCuI5 crystal (PBE, Alexandria via LeMat-Bulk).

```
KScCuI5
1.0
4.887 -6.449 0.000
4.887 6.449 0.000
-4.302 0.000 10.036
K Sc Cu I
2 2 2 10
Direct
0.141 0.859 0.750 K
0.859 0.141 0.250 K
0.500 0.500 0.000 Sc
0.500 0.500 0.500 Sc
0.192 0.808 0.250 Cu
0.808 0.192 0.750 Cu
0.123 0.272 0.937 I
0.183 0.583 0.386 I
0.272 0.123 0.437 I
0.417 0.817 0.114 I
0.419 0.581 0.750 I
0.581 0.419 0.250 I
0.583 0.183 0.886 I
0.728 0.877 0.563 I
0.817 0.417 0.614 I
0.877 0.728 0.063 I
```

Properties
E_form (uncorrected), eV/f.u.: -7.9
M_tot, μB per cell: 0.00

Entry 4:
# KCu2SnI6

A relaxed KCu2SnI6 crystal (PBE, Alexandria via LeMat-Bulk).

```
KCu2SnI6
1.0
7.103 -7.181 0.000
7.103 7.181 0.000
-0.987 0.000 7.721
K Cu Sn I
2 4 2 12
Direct
0.090 0.910 0.750 K
0.910 0.090 0.250 K
0.236 0.397 0.698 Cu
0.397 0.236 0.198 Cu
0.603 0.764 0.802 Cu
0.764 0.603 0.302 Cu
0.283 0.717 0.250 Sn
0.717 0.283 0.750 Sn
0.019 0.243 0.658 I
0.160 0.599 0.894 I
0.243 0.019 0.158 I
0.284 0.430 0.379 I
0.401 0.840 0.606 I
0.430 0.284 0.879 I
0.570 0.716 0.121 I
0.599 0.160 0.394 I
0.716 0.570 0.621 I
0.757 0.981 0.842 I
0.840 0.401 0.106 I
0.981 0.757 0.342 I
```

Properties
E_form (uncorrected), eV/f.u.: -4.8
M_tot, μB per cell: 0.00

Entry 5:
# KCu4Sn3I12

A relaxed KCu4Sn3I12 crystal (PBE, Alexandria via LeMat-Bulk).

```
KCu4Sn3I12
1.0
8.056 4.651 3.919
-8.056 4.651 3.919
0.000 -9.302 3.919
K Cu Sn I
1 4 3 12
Direct
0.000 0.000 0.000 K
0.069 0.500 0.931 Cu
0.500 0.500 0.500 Cu
0.500 0.931 0.069 Cu
0.931 0.069 0.500 Cu
0.000 0.557 0.443 Sn
0.443 0.000 0.557 Sn
0.557 0.443 0.000 Sn
0.019 0.646 0.772 I
0.091 0.909 0.500 I
0.228 0.354 0.981 I
0.344 0.656 0.500 I
0.354 0.981 0.228 I
0.500 0.091 0.909 I
0.500 0.344 0.656 I
0.646 0.772 0.019 I
0.656 0.500 0.344 I
0.772 0.019 0.646 I
0.909 0.500 0.091 I
0.981 0.228 0.354 I
```

Properties
E_form (uncorrected), eV/f.u.: -7.6
M_tot, μB per cell: 0.00

Entry 6:
# KCuSnI4

A relaxed KCuSnI4 crystal (PBE, Alexandria via LeMat-Bulk).

```
KCuSnI4
1.0
7.224 0.000 0.000
0.000 8.334 0.000
-3.091 0.000 9.095
K Cu Sn I
2 2 2 8
Direct
0.233 0.250 0.054 K
0.767 0.750 0.946 K
0.196 0.750 0.318 Cu
0.804 0.250 0.682 Cu
0.216 0.250 0.553 Sn
0.784 0.750 0.447 Sn
0.018 0.508 0.730 I
0.018 0.992 0.730 I
0.430 0.750 0.151 I
0.453 0.750 0.584 I
0.547 0.250 0.416 I
0.570 0.250 0.849 I
0.982 0.008 0.270 I
0.982 0.492 0.270 I
```

Properties
E_form (uncorrected), eV/f.u.: -4.5
M_tot, μB per cell: 0.00

Entry 7:
# K2CuSnI

A relaxed K2CuSnI crystal (PBE, Alexandria via LeMat-Bulk).

```
K2CuSnI
1.0
6.688 0.000 0.000
0.000 6.688 0.000
0.000 0.000 5.033
K Cu Sn I
2 1 1 1
Direct
0.000 0.500 0.000 K
0.500 0.000 0.000 K
0.000 0.000 0.500 Cu
0.500 0.500 0.500 Sn
0.000 0.000 0.000 I
```

Properties
E_form (uncorrected), eV/f.u.: 0.5
M_tot, μB per cell: 1.86

Entry 8:
# KSr3Cu4I12

A relaxed KSr3Cu4I12 crystal (PBE, Alexandria via LeMat-Bulk).

```
KSr3Cu4I12
1.0
8.088 4.669 4.173
-8.088 4.669 4.173
0.000 -9.339 4.173
K Sr Cu I
1 3 4 12
Direct
0.000 0.000 0.000 K
0.000 0.551 0.449 Sr
0.449 0.000 0.551 Sr
0.551 0.449 0.000 Sr
0.064 0.500 0.936 Cu
0.500 0.500 0.500 Cu
0.500 0.936 0.064 Cu
0.936 0.064 0.500 Cu
0.024 0.657 0.788 I
0.097 0.903 0.500 I
0.212 0.343 0.976 I
0.343 0.976 0.212 I
0.345 0.655 0.500 I
0.500 0.097 0.903 I
0.500 0.345 0.655 I
0.655 0.500 0.345 I
0.657 0.788 0.024 I
0.788 0.024 0.657 I
0.903 0.500 0.097 I
0.976 0.212 0.343 I
```

Properties
E_form (uncorrected), eV/f.u.: -18.2
M_tot, μB per cell: 1.10

Entry 9:
# KSrCuI4

A relaxed KSrCuI4 crystal (PBE, Alexandria via LeMat-Bulk).

```
KSrCuI4
1.0
7.471 0.000 0.000
0.000 8.087 0.000
-3.021 0.000 9.200
K Sr Cu I
2 2 2 8
Direct
0.234 0.250 0.054 K
0.766 0.750 0.946 K
0.231 0.250 0.558 Sr
0.769 0.750 0.442 Sr
0.228 0.750 0.321 Cu
0.772 0.250 0.679 Cu
0.007 0.504 0.728 I
0.007 0.996 0.728 I
0.420 0.750 0.135 I
0.438 0.750 0.595 I
0.562 0.250 0.405 I
0.580 0.250 0.865 I
0.993 0.004 0.272 I
0.993 0.496 0.272 I
```

Properties
E_form (uncorrected), eV/f.u.: -8.2
M_tot, μB per cell: 0.00

Entry 10:
# K2SrCu2I6

A relaxed K2SrCu2I6 crystal (PBE, Alexandria via LeMat-Bulk).

```
K2SrCu2I6
1.0
6.807 -4.291 0.000
6.807 4.291 0.000
-4.045 0.000 8.308
K Sr Cu I
2 1 2 6
Direct
0.211 0.211 0.164 K
0.789 0.789 0.836 K
0.000 0.000 0.500 Sr
0.459 0.459 0.731 Cu
0.541 0.541 0.269 Cu
0.180 0.688 0.193 I
0.255 0.255 0.563 I
0.312 0.820 0.807 I
0.688 0.180 0.193 I
0.745 0.745 0.437 I
0.820 0.312 0.807 I
```

Properties
E_form (uncorrected), eV/f.u.: -11.0
M_tot, μB per cell: 0.00

Entry 11:
# KCuTe2I

A relaxed KCuTe2I crystal (PBE, Alexandria via LeMat-Bulk).

```
KCuTe2I
1.0
5.049 0.000 0.000
0.000 5.049 0.000
0.000 0.000 7.233
K Cu Te I
1 1 2 1
Direct
0.000 0.000 0.000 K
0.500 0.500 0.500 Cu
0.000 0.500 0.500 Te
0.500 0.000 0.500 Te
0.500 0.500 0.000 I
```

Properties
E_form (uncorrected), eV/f.u.: -1.3
M_tot, μB per cell: 0.47

Entry 12:
# KCuTeI2

A relaxed KCuTeI2 crystal (PBE, Alexandria via LeMat-Bulk).

```
KCuTeI2
1.0
6.493 0.000 0.000
0.000 6.493 0.000
0.000 0.000 6.425
K Cu Te I
1 1 1 2
Direct
0.000 0.000 0.000 K
0.500 0.500 0.500 Cu
0.000 0.000 0.500 Te
0.000 0.500 0.000 I
0.500 0.000 0.000 I
```

Properties
E_form (uncorrected), eV/f.u.: 3.1
M_tot, μB per cell: 2.03

Entry 13:
# KCuTeI2

A relaxed KCuTeI2 crystal (PBE, Alexandria via LeMat-Bulk).

```
KCuTeI2
1.0
5.787 0.000 0.000
0.000 5.787 0.000
0.000 0.000 5.148
K Cu Te I
1 1 1 2
Direct
0.000 0.000 0.000 K
0.500 0.500 0.500 Cu
0.500 0.500 0.000 Te
0.000 0.500 0.500 I
0.500 0.000 0.500 I
```

Properties
E_form (uncorrected), eV/f.u.: -1.8
M_tot, μB per cell: 0.96

Entry 14:
# KCuTe2I

A relaxed KCuTe2I crystal (PBE, Alexandria via LeMat-Bulk).

```
KCuTe2I
1.0
6.482 0.000 0.000
0.000 6.482 0.000
0.000 0.000 6.347
K Cu Te I
1 1 2 1
Direct
0.000 0.000 0.000 K
0.500 0.500 0.500 Cu
0.000 0.500 0.000 Te
0.500 0.000 0.000 Te
0.000 0.000 0.500 I
```

Properties
E_form (uncorrected), eV/f.u.: 4.5
M_tot, μB per cell: 3.02

Entry 15:
# KCu2TeI6

A relaxed KCu2TeI6 crystal (PBE, Alexandria via LeMat-Bulk).

```
KCu2TeI6
1.0
7.431 -7.128 0.000
7.431 7.128 0.000
-1.155 0.000 7.626
K Cu Te I
2 4 2 12
Direct
0.094 0.906 0.750 K
0.906 0.094 0.250 K
0.235 0.370 0.720 Cu
0.370 0.235 0.220 Cu
0.630 0.765 0.780 Cu
0.765 0.630 0.280 Cu
0.315 0.685 0.250 Te
0.685 0.315 0.750 Te
0.026 0.238 0.662 I
0.177 0.591 0.905 I
0.238 0.026 0.162 I
0.252 0.426 0.396 I
0.409 0.823 0.595 I
0.426 0.252 0.896 I
0.574 0.748 0.104 I
0.591 0.177 0.405 I
0.748 0.574 0.604 I
0.762 0.974 0.838 I
0.823 0.409 0.095 I
0.974 0.762 0.338 I
```

Properties
E_form (uncorrected), eV/f.u.: -3.3
M_tot, μB per cell: 0.00

Entry 16:
# KTiCu2I8

A relaxed KTiCu2I8 crystal (PBE, Alexandria via LeMat-Bulk).

```
KTiCu2I8
1.0
5.928 -3.926 0.000
5.928 3.926 0.000
-0.499 0.000 10.090
K Ti Cu I
1 1 2 8
Direct
0.000 0.000 0.000 K
0.000 0.000 0.500 Ti
0.359 0.359 0.721 Cu
0.641 0.641 0.279 Cu
0.233 0.233 0.503 I
0.240 0.744 0.304 I
0.256 0.760 0.696 I
0.293 0.293 0.953 I
0.707 0.707 0.047 I
0.744 0.240 0.304 I
0.760 0.256 0.696 I
0.767 0.767 0.497 I
```

Properties
E_form (uncorrected), eV/f.u.: -6.5
M_tot, μB per cell: 0.00

Entry 17:
# KTlCuI3

A relaxed KTlCuI3 crystal (PBE, Alexandria via LeMat-Bulk).

```
KTlCuI3
1.0
2.322 -7.189 0.000
2.322 7.189 0.000
0.000 0.000 14.346
K Tl Cu I
2 2 2 6
Direct
0.000 0.000 0.000 K
0.000 0.000 0.500 K
0.251 0.749 0.750 Tl
0.749 0.251 0.250 Tl
0.439 0.561 0.250 Cu
0.561 0.439 0.750 Cu
0.044 0.956 0.250 I
0.344 0.656 0.094 I
0.344 0.656 0.406 I
0.656 0.344 0.594 I
0.656 0.344 0.906 I
0.956 0.044 0.750 I
```

Properties
E_form (uncorrected), eV/f.u.: -4.4
M_tot, μB per cell: 0.00

Entry 18:
# K3Tl3CuI8

A relaxed K3Tl3CuI8 crystal (PBE, Alexandria via LeMat-Bulk).

```
K3Tl3CuI8
1.0
8.636 -4.992 0.000
8.636 4.992 0.000
-5.802 0.000 8.162
K Tl Cu I
3 3 1 8
Direct
0.000 0.000 0.000 K
0.000 0.500 0.500 K
0.500 0.000 0.500 K
0.000 0.500 0.000 Tl
0.500 0.000 0.000 Tl
0.500 0.500 0.500 Tl
0.500 0.500 0.000 Cu
0.249 0.249 0.250 I
0.286 0.713 0.214 I
0.287 0.714 0.786 I
0.309 0.309 0.811 I
0.691 0.691 0.189 I
0.713 0.286 0.214 I
0.714 0.287 0.786 I
0.751 0.751 0.750 I
```

Properties
E_form (uncorrected), eV/f.u.: -12.3
M_tot, μB per cell: 1.15

Entry 19:
# KTl3Cu4I12

A relaxed KTl3Cu4I12 crystal (PBE, Alexandria via LeMat-Bulk).

```
KTl3Cu4I12
1.0
8.073 4.661 4.169
-8.073 4.661 4.169
0.000 -9.322 4.169
K Tl Cu I
1 3 4 12
Direct
0.000 0.000 0.000 K
0.000 0.543 0.457 Tl
0.457 0.000 0.543 Tl
0.543 0.457 0.000 Tl
0.054 0.500 0.946 Cu
0.500 0.500 0.500 Cu
0.500 0.946 0.054 Cu
0.946 0.054 0.500 Cu
0.004 0.215 0.361 I
0.102 0.898 0.500 I
0.215 0.361 0.004 I
0.345 0.655 0.500 I
0.361 0.004 0.215 I
0.500 0.102 0.898 I
0.500 0.345 0.655 I
0.639 0.785 0.996 I
0.655 0.500 0.345 I
0.785 0.996 0.639 I
0.898 0.500 0.102 I
0.996 0.639 0.785 I
```

Properties
E_form (uncorrected), eV/f.u.: -6.7
M_tot, μB per cell: 0.00

Entry 20:
# KTl2CuI4

A relaxed KTl2CuI4 crystal (PBE, Alexandria via LeMat-Bulk).

```
KTl2CuI4
1.0
2.336 -7.982 0.000
2.336 7.982 0.000
0.000 0.000 17.747
K Tl Cu I
2 4 2 8
Direct
0.097 0.903 0.750 K
0.903 0.097 0.250 K
0.359 0.641 0.554 Tl
0.359 0.641 0.946 Tl
0.641 0.359 0.054 Tl
0.641 0.359 0.446 Tl
0.182 0.818 0.250 Cu
0.818 0.182 0.750 Cu
0.000 0.000 0.000 I
0.000 0.000 0.500 I
0.286 0.714 0.134 I
0.286 0.714 0.366 I
0.409 0.591 0.750 I
0.591 0.409 0.250 I
0.714 0.286 0.634 I
0.714 0.286 0.866 I
```

Properties
E_form (uncorrected), eV/f.u.: -5.6
M_tot, μB per cell: 0.00